Tm2Ga6CoRu | PBE-GGA | optimized geometry Values from VASP.

Output
raw total energy	-4.585	eV/atom
formation energy from the elements	-2.37	eV per formula unit
N(E_F)	5.2	states/eV/f.u.

Structure (Quantum ESPRESSO input):
```
&SYSTEM
  ibrav = 0, nat = 10, ntyp = 4
/
ATOMIC_SPECIES
Co 58.93 Co.upf
Ga 69.72 Ga.upf
Tm 168.93 Tm.upf
Ru 101.07 Ru.upf
CELL_PARAMETERS angstrom
-0.754 1.224 6.362
-5.263 -3.852 0.118
-0.336 -4.934 4.253
ATOMIC_POSITIONS angstrom
Co -3.008 -1.314 3.240
Ga -1.549 -0.676 1.669
Ga -4.640 -4.492 7.002
Tm -2.049 -2.511 6.928
Ga -4.467 -1.951 4.812
Ga -1.712 -3.069 3.732
Ru 0.000 0.000 0.000
Ga -1.915 -0.083 4.754
Ga -4.102 -2.545 1.726
Tm -4.304 -5.049 3.806
```